# 1
Pa2Cu3O8: relaxed, PBE.

Output
SG: C2/m (12)
Volume: 166 Å³ per cell
ΔE_f (raw): -193.5 kJ per mole of atoms

abc: 5.0265 5.8681 5.8675
angles: 75.11 83.76 83.76
Sites, in units of the cell vectors:
O (0.3166, 0.6590, 0.0587)
O (0.7525, 0.4404, 0.4405)
Cu (0.0000, 0.1975, 0.8025)
O (0.3166, 0.0587, 0.6591)
Cu (0.0000, 0.8025, 0.1975)
O (0.1846, 0.1375, 0.1375)
Pa (0.5621, 0.6848, 0.6848)
O (0.8154, 0.8625, 0.8625)
O (0.6834, 0.3410, 0.9413)
O (0.2475, 0.5596, 0.5595)
O (0.6834, 0.9413, 0.3409)
Pa (0.4379, 0.3152, 0.3152)
Cu (0.5000, 0.0000, 0.0000)

# 2
Pa3Cu5O12: relaxed, PBE.

Output
SG: Ia-3d (230)
Volume: 962 Å³ per cell
ΔE_f (raw): -195.4 kJ per mole of atoms

abc: 10.7712 10.7712 10.7712
angles: 109.47 109.47 109.47
Sites, in units of the cell vectors:
Pa (0.3750, 0.7500, 0.6250)
Cu (0.5000, 0.0000, 0.0000)
Cu (0.6250, 0.7500, 0.8750)
Cu (0.7500, 0.6250, 0.3750)
Cu (0.1250, 0.7500, 0.3750)
Pa (0.6250, 0.2500, 0.3750)
O (0.9150, 0.8276, 0.7826)
O (0.5874, 0.9551, 0.6724)
O (0.2174, 0.5449, 0.6323)
O (0.9126, 0.0850, 0.8677)
Cu (0.6250, 0.8750, 0.2500)
O (0.3677, 0.9551, 0.7826)
O (0.2826, 0.4150, 0.8276)
O (0.7174, 0.1323, 0.0449)
O (0.7174, 0.5850, 0.1724)
Cu (0.0000, 0.5000, 0.0000)
O (0.6724, 0.2174, 0.5850)
O (0.4126, 0.3677, 0.5850)
O (0.3276, 0.5449, 0.4126)
O (0.5449, 0.3276, 0.9126)
Pa (0.3750, 0.6250, 0.2500)
O (0.2174, 0.6724, 0.0850)
O (0.5850, 0.7174, 0.6724)
Cu (0.8750, 0.2500, 0.6250)
O (0.0850, 0.9126, 0.3677)
O (0.4150, 0.2826, 0.3276)
Cu (0.5000, 0.5000, 0.5000)
O (0.2826, 0.8677, 0.9551)
Cu (0.2500, 0.8750, 0.1250)
O (0.0449, 0.4126, 0.8276)
Cu (0.2500, 0.3750, 0.6250)
O (0.7826, 0.3276, 0.9150)
Pa (0.8750, 0.1250, 0.2500)
Pa (0.7500, 0.8750, 0.6250)
O (0.8276, 0.9150, 0.2826)
O (0.9126, 0.8276, 0.5449)
O (0.7826, 0.4551, 0.3677)
Cu (0.0000, 0.5000, 0.5000)
Pa (0.8750, 0.7500, 0.1250)
O (0.1724, 0.0874, 0.9551)
Cu (0.1250, 0.3750, 0.2500)
Cu (0.5000, 0.0000, 0.5000)
Cu (0.8750, 0.6250, 0.7500)
Cu (0.3750, 0.1250, 0.7500)
Pa (0.1250, 0.2500, 0.8750)
Cu (0.0000, 0.0000, 0.5000)
O (0.4551, 0.6724, 0.0874)
O (0.3276, 0.7826, 0.4150)
Cu (0.7500, 0.1250, 0.8750)
O (0.0874, 0.9150, 0.1323)
O (0.0850, 0.1724, 0.2174)
Pa (0.7500, 0.3750, 0.1250)
O (0.6323, 0.0449, 0.2174)
O (0.4551, 0.7826, 0.8677)
O (0.9551, 0.3677, 0.2826)
O (0.5874, 0.6323, 0.4150)
O (0.3677, 0.4126, 0.0850)
O (0.5850, 0.8677, 0.4126)
O (0.4126, 0.0449, 0.3276)
Pa (0.6250, 0.3750, 0.7500)
O (0.8677, 0.5850, 0.9126)
O (0.1724, 0.0850, 0.7174)
O (0.1323, 0.7174, 0.5449)
O (0.1323, 0.4150, 0.0874)
O (0.0449, 0.6323, 0.7174)
Pa (0.2500, 0.1250, 0.3750)
O (0.8276, 0.9126, 0.0449)
Cu (0.0000, 0.0000, 0.0000)
Pa (0.2500, 0.6250, 0.8750)
Cu (0.5000, 0.5000, 0.0000)
O (0.6724, 0.4551, 0.5874)
O (0.8677, 0.2826, 0.4551)
O (0.9551, 0.5874, 0.1724)
O (0.4150, 0.1323, 0.5874)
Cu (0.3750, 0.2500, 0.1250)
O (0.0874, 0.1724, 0.4551)
Pa (0.1250, 0.8750, 0.7500)
O (0.6323, 0.5874, 0.9150)
O (0.5449, 0.2174, 0.1323)
O (0.9150, 0.0874, 0.6323)

# 3
PaCuO4: relaxed, PBE.

Output
SG: P-1 (2)
Volume: 160 Å³ per cell
ΔE_f (raw): -211.6 kJ per mole of atoms

abc: 5.5677 5.0792 6.9933
angles: 122.73 104.97 87.52
Sites, in units of the cell vectors:
O (0.0988, 0.3384, 0.5827)
O (0.4678, 0.8041, 0.6285)
Pa (0.8242, 0.6250, 0.6972)
Cu (0.3897, 0.1924, 0.8572)
Pa (0.1758, 0.3750, 0.3028)
O (0.3359, 0.5735, 0.1085)
O (0.5322, 0.1959, 0.3715)
O (0.8540, 0.9775, 0.0953)
O (0.9012, 0.6616, 0.4173)
O (0.1460, 0.0225, 0.9047)
Cu (0.6103, 0.8076, 0.1428)
O (0.6641, 0.4265, 0.8915)

# 4
Pa2Cu4O9: relaxed, PBE.

Output
SG: P-1 (2)
Volume: 385 Å³ per cell
ΔE_f (raw): -173.5 kJ per mole of atoms

abc: 5.3690 5.1939 15.0082
angles: 89.35 84.51 67.74
Sites, in units of the cell vectors:
O (0.0109, 0.3640, 0.7387)
O (0.2612, 0.9799, 0.2587)
O (0.3846, 0.1188, 0.5906)
Pa (0.0012, 0.9310, 0.3755)
O (0.7388, 0.0201, 0.7413)
O (0.3746, 0.6065, 0.0729)
O (0.2957, 0.0904, 0.9133)
O (0.7353, 0.2080, 0.2619)
Cu (0.3341, 0.3344, 0.9970)
O (0.9276, 0.7269, 0.9226)
O (0.6154, 0.8812, 0.4094)
Cu (0.3397, 0.3171, 0.2704)
O (0.6254, 0.3935, 0.9271)
Cu (0.6729, 0.5822, 0.3153)
Pa (0.9759, 0.0577, 0.8574)
Cu (0.3271, 0.4178, 0.6847)
O (0.0285, 0.7516, 0.5328)
Cu (0.3373, 0.3323, 0.4841)
Pa (0.9988, 0.0690, 0.6245)
O (0.3670, 0.5253, 0.3805)
O (0.6330, 0.4747, 0.6195)
Pa (0.0241, 0.9423, 0.1426)
Cu (0.6603, 0.6829, 0.7296)
O (0.2647, 0.7920, 0.7381)
Cu (0.6659, 0.6656, 0.0030)
O (0.9891, 0.6360, 0.2613)
O (0.7043, 0.9096, 0.0867)
Cu (0.6627, 0.6677, 0.5159)
O (0.9715, 0.2484, 0.4672)
O (0.0724, 0.2731, 0.0774)

# 5
PaCuO3: relaxed, PBE.

Output
SG: P2_13 (198)
Volume: 287 Å³ per cell
ΔE_f (raw): -241.7 kJ per mole of atoms

abc: 6.5976 6.5976 6.5976
angles: 90.00 90.00 90.00
Sites, in units of the cell vectors:
O (0.2336, 0.3541, 0.9983)
Pa (0.9167, 0.4167, 0.0833)
Cu (0.0616, 0.4383, 0.5616)
O (0.5017, 0.7664, 0.8541)
Cu (0.5616, 0.0616, 0.4384)
Pa (0.0833, 0.9167, 0.4167)
O (0.7664, 0.8541, 0.5017)
Cu (0.4384, 0.5616, 0.0616)
O (0.1459, 0.0017, 0.7336)
Pa (0.5833, 0.5833, 0.5833)
O (0.4983, 0.2664, 0.6459)
O (0.2664, 0.6459, 0.4983)
O (0.6459, 0.4983, 0.2664)
O (0.3541, 0.9983, 0.2336)
O (0.0017, 0.7336, 0.1459)
O (0.7336, 0.1459, 0.0017)
O (0.9983, 0.2336, 0.3541)
O (0.8541, 0.5017, 0.7664)
Cu (0.9384, 0.9384, 0.9384)
Pa (0.4167, 0.0833, 0.9167)

# 6
PaCu2O5: relaxed, PBE.

Output
SG: P1 (1)
Volume: 110 Å³ per cell
ΔE_f (raw): -156.3 kJ per mole of atoms

abc: 5.9299 6.1425 4.5194
angles: 73.59 61.04 49.75
Sites, in units of the cell vectors:
Cu (0.6653, 0.5747, 0.1505)
Cu (0.5393, 0.1270, 0.6327)
Pa (0.0197, 0.9654, 0.8894)
O (0.5382, 0.3362, 0.2300)
O (0.9850, 0.9534, 0.4179)
O (0.4992, 0.6446, 0.6373)
O (0.6458, 0.9035, 0.0071)
O (0.1076, 0.2723, 0.8121)

# 7
Pa2CuO: relaxed, PBE.

Output
SG: R-3m (166)
Volume: 78 Å³ per cell
ΔE_f (raw): -61.1 kJ per mole of atoms

abc: 3.1504 3.1504 9.2080
angles: 80.15 80.15 60.00
Sites, in units of the cell vectors:
Cu (0.0000, 0.0000, 0.0000)
O (0.5000, 0.5000, 0.5000)
Pa (0.8930, 0.8930, 0.3209)
Pa (0.1070, 0.1070, 0.6791)

# 8
PaCu2O6: relaxed, PBE.

Output
SG: P-31m (162)
Volume: 104 Å³ per cell
ΔE_f (raw): -140.4 kJ per mole of atoms

abc: 4.7708 5.0276 5.0276
angles: 120.00 90.00 90.00
Sites, in units of the cell vectors:
O (0.2718, 0.6502, 0.0000)
O (0.7282, 0.0000, 0.3498)
O (0.7282, 0.6502, 0.6502)
Cu (0.5000, 0.6667, 0.3333)
O (0.2718, 0.0000, 0.6502)
O (0.2718, 0.3498, 0.3498)
Cu (0.5000, 0.3333, 0.6667)
O (0.7282, 0.3498, 0.0000)
Pa (0.0000, 0.0000, 0.0000)

# 9
Pa4Cu3O12: relaxed, PBE.

Output
SG: Im-3 (204)
Volume: 273 Å³ per cell
ΔE_f (raw): -260.9 kJ per mole of atoms

abc: 7.0808 7.0810 7.0810
angles: 109.47 109.47 109.47
Sites, in units of the cell vectors:
O (0.8246, 0.3152, 0.1398)
O (0.8602, 0.1754, 0.6848)
Pa (0.0000, 0.0000, 0.5000)
Cu (0.5000, 0.0000, 0.5000)
Pa (0.0000, 0.5000, 0.0000)
O (0.3152, 0.4907, 0.1754)
Cu (0.0000, 0.5000, 0.5000)
Pa (0.5000, 0.0000, 0.0000)
O (0.1754, 0.3152, 0.4907)
O (0.5093, 0.8246, 0.6848)
Pa (0.5000, 0.5000, 0.5000)
O (0.4907, 0.1754, 0.3152)
O (0.1398, 0.8246, 0.3152)
O (0.1754, 0.6848, 0.8602)
Cu (0.5000, 0.5000, 0.0000)
O (0.6848, 0.5093, 0.8246)
O (0.8246, 0.6848, 0.5093)
O (0.3152, 0.1398, 0.8246)
O (0.6848, 0.8602, 0.1754)

# 10
Pa3Cu4PbO12: relaxed, PBE.

Output
SG: R32 (155)
Volume: 317 Å³ per cell
ΔE_f (raw): -199.9 kJ per mole of atoms

abc: 7.1405 7.1405 7.1405
angles: 105.13 105.13 105.13
Sites, in units of the cell vectors:
O (0.1045, 0.8955, 0.5000)
Cu (0.5000, 0.5000, 0.5000)
O (0.7578, 0.0083, 0.6455)
O (0.5000, 0.1045, 0.8955)
O (0.9917, 0.2422, 0.3545)
O (0.3545, 0.9917, 0.2422)
Pa (0.4452, 0.0000, 0.5548)
O (0.2422, 0.3545, 0.9917)
O (0.6654, 0.5000, 0.3346)
O (0.8955, 0.5000, 0.1045)
Pb (0.0000, 0.0000, 0.0000)
Cu (0.0672, 0.5000, 0.9328)
Pa (0.0000, 0.5548, 0.4452)
O (0.6455, 0.7578, 0.0083)
O (0.3346, 0.6654, 0.5000)
O (0.5000, 0.3346, 0.6654)
Pa (0.5548, 0.4452, 0.0000)
O (0.0083, 0.6455, 0.7578)
Cu (0.9328, 0.0672, 0.5000)
Cu (0.5000, 0.9328, 0.0672)

# 11
PaCuPbO6: relaxed, PBE.

Output
SG: P312 (149)
Volume: 119 Å³ per cell
ΔE_f (raw): -161.8 kJ per mole of atoms

abc: 4.8572 5.3298 5.3298
angles: 120.00 90.00 90.00
Sites, in units of the cell vectors:
O (0.2614, 0.0077, 0.6887)
O (0.7386, 0.3113, 0.9923)
O (0.7386, 0.6810, 0.6887)
O (0.2614, 0.3113, 0.3190)
Pb (0.5000, 0.6667, 0.3333)
Pa (0.0000, 0.3333, 0.6667)
Cu (0.5000, 0.0000, 0.0000)
O (0.2614, 0.6810, 0.9923)
O (0.7386, 0.0077, 0.3190)

# 12
PaCu4Pb3O12: relaxed, PBE.

Output
SG: R32 (155)
Volume: 292 Å³ per cell
ΔE_f (raw): -97.9 kJ per mole of atoms

abc: 6.9483 6.9483 6.9483
angles: 105.27 105.27 105.27
Sites, in units of the cell vectors:
O (0.6926, 0.7934, 0.0118)
Cu (0.0813, 0.5000, 0.9187)
O (0.3074, 0.9882, 0.2066)
O (0.5000, 0.3374, 0.6626)
O (0.3374, 0.6626, 0.5000)
O (0.2066, 0.3074, 0.9882)
Cu (0.5000, 0.9187, 0.0813)
Cu (0.9187, 0.0813, 0.5000)
Pb (0.0000, 0.5655, 0.4345)
O (0.0118, 0.6926, 0.7934)
O (0.9882, 0.2066, 0.3074)
Pb (0.5655, 0.4345, 0.0000)
Cu (0.5000, 0.5000, 0.5000)
O (0.7934, 0.0118, 0.6926)
Pa (0.0000, 0.0000, 0.0000)
Pb (0.4345, 0.0000, 0.5655)
O (0.0892, 0.9108, 0.5000)
O (0.6626, 0.5000, 0.3374)
O (0.9108, 0.5000, 0.0892)
O (0.5000, 0.0892, 0.9108)

# 13
PaCuPbO5: relaxed, PBE.

Output
SG: C2/c (15)
Volume: 249 Å³ per cell
ΔE_f (raw): -179.6 kJ per mole of atoms

abc: 5.9694 5.9694 8.1237
angles: 100.39 100.39 114.07
Sites, in units of the cell vectors:
O (0.8530, 0.2623, 0.0959)
Pa (0.0000, 0.0000, 0.0000)
O (0.6144, 0.6962, 0.9141)
O (0.3038, 0.3856, 0.5859)
Pb (0.6706, 0.3294, 0.7500)
O (0.2623, 0.8530, 0.5959)
O (0.6962, 0.6144, 0.4141)
Pa (0.0000, 0.0000, 0.5000)
O (0.7377, 0.1470, 0.4041)
Pb (0.3294, 0.6706, 0.2500)
O (0.3856, 0.3038, 0.0859)
Cu (0.3293, 0.6707, 0.7500)
O (0.9241, 0.0759, 0.7500)
O (0.0759, 0.9241, 0.2500)
Cu (0.6707, 0.3293, 0.2500)
O (0.1470, 0.7377, 0.9041)

# 14
Pa2CuPbO8: relaxed, PBE.

Output
SG: P-3m1 (164)
Volume: 160 Å³ per cell
ΔE_f (raw): -197.7 kJ per mole of atoms

abc: 5.1371 5.1371 6.9962
angles: 90.00 90.00 120.00
Sites, in units of the cell vectors:
O (0.8256, 0.1744, 0.8482)
O (0.6667, 0.3333, 0.4141)
Cu (0.0000, 0.0000, 0.0000)
O (0.1744, 0.3489, 0.1519)
Pa (0.6667, 0.3333, 0.1404)
O (0.8256, 0.6511, 0.8482)
Pa (0.3333, 0.6667, 0.8596)
Pb (0.0000, 0.0000, 0.5000)
O (0.1744, 0.8256, 0.1519)
O (0.3333, 0.6667, 0.5859)
O (0.3489, 0.1744, 0.8482)
O (0.6511, 0.8256, 0.1519)

# 15
PaCuPb2O6: relaxed, PBE.

Output
SG: P-1 (2)
Volume: 153 Å³ per cell
ΔE_f (raw): -169.3 kJ per mole of atoms

abc: 6.3760 5.6938 6.3217
angles: 62.95 50.20 63.95
Sites, in units of the cell vectors:
Pa (0.8162, 0.8162, 0.5515)
O (0.1710, 0.0027, 0.2810)
Pb (0.6010, 0.5279, 0.3286)
O (0.0143, 0.4989, 0.3268)
O (0.4612, 0.6298, 0.8219)
Cu (0.3161, 0.3163, 0.0514)
O (0.9756, 0.5368, 0.8123)
O (0.6569, 0.0953, 0.2906)
Pb (0.0312, 0.1042, 0.7749)
O (0.6179, 0.1336, 0.7761)

# 16
PaCu2Pb2O6: relaxed, PBE.

Output
SG: C2/m (12)
Volume: 181 Å³ per cell
ΔE_f (raw): -159.0 kJ per mole of atoms

abc: 5.7440 6.2193 7.4189
angles: 124.37 90.00 117.50
Sites, in units of the cell vectors:
O (0.8413, 0.1590, 0.7835)
Cu (0.0670, 0.1340, 0.2687)
O (0.2689, 0.5379, 0.3730)
O (0.3178, 0.1590, 0.7835)
Pb (0.7105, 0.4210, 0.1296)
Cu (0.9330, 0.8660, 0.7313)
O (0.6822, 0.8410, 0.2165)
Pa (0.5000, 0.0000, 0.5000)
Pb (0.2895, 0.5790, 0.8704)
O (0.1587, 0.8410, 0.2165)
O (0.7311, 0.4621, 0.6270)